ZrCo2Ir2 after structural relaxation. Source: the Alexandria database, functional PBE.

V: 14.619 A^3/atom
ΔH_f (0 K): -75.4 kJ/mol of formula units
ΔE to the lowest computed polymorph: 68.9 meV/atom

abc: 7.2680 7.2680 2.7675
angles: 90.00 90.00 90.00
With the nearest neighbours (Å) after each atom.
Positions (direct):
Ir 0.3711 0.8711 0.0000  6 Co 2.49-2.59, 3 Ir 2.65-2.77
Ir 0.8711 0.6289 0.0000  6 Co 2.49-2.59, 3 Ir 2.65-2.77
Ir 0.6289 0.1289 0.0000  6 Co 2.49-2.59, 3 Ir 2.65-2.77
Ir 0.1289 0.3711 0.0000  6 Co 2.49-2.59, 3 Ir 2.65-2.77
Co 0.1697 0.6697 0.5000  6 Ir 2.49-2.59, 2 Co 2.77
Co 0.6697 0.8303 0.5000  6 Ir 2.49-2.59, 2 Co 2.77
Co 0.8303 0.3303 0.5000  6 Ir 2.49-2.59, 2 Co 2.77
Co 0.3303 0.1697 0.5000  6 Ir 2.49-2.59, 2 Co 2.77
Zr 0.0000 0.0000 0.0000  2 Zr 2.77, 4 Ir 2.86, 8 Co 3.03
Zr 0.5000 0.5000 0.0000  2 Zr 2.77, 4 Ir 2.86, 8 Co 3.03